Tb2Pm6PrDy3: optimized geometry, PBE.

Lattice parameters (Å, degrees): 6.2655 6.2655 11.9471 95.01 95.01 119.99
Closest atoms and distances in Å follow each position.
Fractional coordinates of all 12 atoms:
Tb: 0.1665 0.8335 0.0000  3 Tb 3.61-3.62, 3 Pr 3.62, 6 Pm 3.62-3.63
Tb: 0.8335 0.1665 0.0000  3 Tb 3.61-3.62, 3 Pr 3.62, 6 Pm 3.62-3.63
Pm: 0.0814 0.4155 0.7479  3 Dy 3.58-3.59, 6 Pm 3.61-3.63, 2 Tb 3.62-3.63, 1 Pr 3.63
Pm: 0.2503 0.2503 0.2521  3 Dy 3.59, 6 Pm 3.61-3.63, 2 Tb 3.63, 1 Pr 3.63
Pm: 0.4155 0.0814 0.7479  3 Dy 3.58-3.59, 6 Pm 3.61-3.63, 2 Tb 3.62-3.63, 1 Pr 3.63
Pm: 0.5845 0.9186 0.2521  3 Dy 3.58-3.59, 6 Pm 3.61-3.63, 2 Tb 3.62-3.63, 1 Pr 3.63
Pm: 0.7497 0.7497 0.7479  3 Dy 3.59, 6 Pm 3.61-3.63, 2 Tb 3.63, 1 Pr 3.63
Pm: 0.9186 0.5845 0.2521  3 Dy 3.58-3.59, 6 Pm 3.61-3.63, 2 Tb 3.62-3.63, 1 Pr 3.63
Pr: 0.5000 0.5000 0.0000  6 Tb 3.62, 6 Pm 3.63
Dy: 0.0000 0.0000 0.5000  6 Pm 3.59, 6 Dy 3.61-3.62
Dy: 0.3330 0.6670 0.5000  6 Pm 3.58-3.59, 6 Dy 3.61-3.62
Dy: 0.6670 0.3330 0.5000  6 Pm 3.58-3.59, 6 Dy 3.61-3.62

Computed properties:
V	33.33	Å³ per atom
E	-4.682	eV per atom
spin magnetization	0.00	μB per formula unit
space-group type	C2/m, No. 12